Here is a relaxed structure of V2Co4Cu from the Alexandria database. Energies are from PBE-GGA.

Cell lengths 3.2138, 3.2138, 8.5543 Å; angles 100.83, 100.83, 90.00 degrees
Last column: magnetic moment on the atom in μB.
Atoms (fractional coordinates):
Co: 0.1426 0.1426 0.2852  0.24
Co: 0.8574 0.8574 0.7148  0.24
Co: 0.7500 0.2500 0.5000  1.24
Co: 0.2500 0.7500 0.5000  1.24
V: 0.4081 0.4081 0.8163  -0.34
V: 0.5919 0.5919 0.1837  -0.34
Cu: 0.0000 0.0000 0.0000  0.01

Output
size of the total moment = 2.2 Bohr magnetons per cell
density = 7.82 g/cm³
ΔH_f (0 K) = 0.209 eV/atom
DOS(E_F) = 6.97 states/eV/f.u.


Here is a relaxed structure of Na3Pr2PuS6 from the Alexandria database. Energies are from PBE-GGA.

Cell lengths 7.1601, 7.1601, 7.0888 Å; angles 99.69, 99.69, 120.00 degrees
Last column: magnetic moment on the atom in μB.
Atoms (fractional coordinates):
Pu: 0.0000 0.0000 0.0000  -4.98
S: 0.0776 0.4038 0.2327  0.03
S: 0.7511 0.7511 0.2314  0.03
S: 0.2489 0.2489 0.7686  0.03
S: 0.4038 0.0776 0.2327  0.03
S: 0.9224 0.5962 0.7673  0.03
S: 0.5962 0.9224 0.7673  0.03
Na: 0.1662 0.8338 0.5000  0.00
Na: 0.5000 0.5000 0.5000  0.00
Na: 0.8338 0.1662 0.5000  0.00
Pr: 0.3334 0.6666 0.0000  -0.03
Pr: 0.6666 0.3334 0.0000  -0.03

Output
ΔE_f (raw) = -1.68 eV per atom
size of the total moment = 5.0 Bohr magnetons per cell
density = 4.41 g/cm³
DOS(E_F) = 11.90 states/eV/f.u.


Here is a relaxed structure of Mo2IrOs from the Alexandria database. Energies are from PBE-GGA.

Cell lengths 9.3267, 9.3267, 9.3267 Å; angles 17.06, 17.06, 17.06 degrees
Atoms (fractional coordinates):
Mo: 0.2465 0.2465 0.2465
Mo: 0.0036 0.0036 0.0036
Ir: 0.7491 0.7491 0.7491
Os: 0.5009 0.5009 0.5009

Output
size of the total moment = 0.0 Bohr magnetons per cell
density = 15.65 g/cm³
ΔH_f (0 K) = 0.087 eV/atom
ΔE to the lowest computed polymorph = 0.220 eV/atom
DOS(E_F) = 3.89 states/eV/f.u.


Here is a relaxed structure of ZrIn2Fe from the Alexandria database. Energies are from PBE-GGA.

Cell lengths 4.7340, 4.7340, 4.7340 Å; angles 60.00, 60.00, 60.00 degrees
Atoms (fractional coordinates):
Fe: 0.0000 0.0000 0.0000
In: 0.2500 0.2500 0.2500
In: 0.7500 0.7500 0.7500
Zr: 0.5000 0.5000 0.5000

Output
size of the total moment = 0.0 Bohr magnetons per cell
density = 8.34 g/cm³
ΔH_f (0 K) = 0.221 eV/atom
DOS(E_F) = 2.15 states/eV/f.u.


Here is a relaxed structure of La3Dy2Er2 from the Alexandria database. Energies are from PBE-GGA.

Cell lengths 3.5606, 13.1487, 5.6370 Å; angles 77.58, 89.99, 113.97 degrees
Atoms (fractional coordinates):
Er: 0.5716 0.7141 0.1430
Er: 0.4284 0.2859 0.8570
Dy: 0.2647 0.8427 0.5788
Dy: 0.7353 0.1573 0.4212
La: 0.6642 0.4429 0.2783
La: 0.0000 0.0000 0.0000
La: 0.3358 0.5571 0.7217

Output
size of the total moment = 0.0 Bohr magnetons per cell
density = 7.63 g/cm³
ΔH_f (0 K) = 0.056 eV/atom
ΔE to the lowest computed polymorph = 0.000 eV/atom
DOS(E_F) = 10.03 states/eV/f.u.


Here is a relaxed structure of YIn2W from the Alexandria database. Energies are from PBE-GGA.

Cell lengths 5.0082, 5.0082, 5.0082 Å; angles 60.00, 60.00, 60.00 degrees
Last column: magnetic moment on the atom in μB.
Atoms (fractional coordinates):
In: 0.2500 0.2500 0.2500  -0.02
In: 0.0000 0.0000 0.0000  0.00
W: 0.5000 0.5000 0.5000  0.47
Y: 0.7500 0.7500 0.7500  0.10

Output
size of the total moment = 0.8 Bohr magnetons per cell
density = 9.39 g/cm³
ΔH_f (0 K) = 0.569 eV/atom
ΔE to the lowest computed polymorph = 0.379 eV/atom
DOS(E_F) = 4.81 states/eV/f.u.


Here is a relaxed structure of SmHo6Tm2Sc from the Alexandria database. Energies are from PBE-GGA.

Cell lengths 9.2941, 8.6513, 8.6513 Å; angles 116.99, 93.29, 93.29 degrees
Atoms (fractional coordinates):
Ho: 0.9444 0.8747 0.2443
Ho: 0.1141 0.7077 0.4890
Ho: 0.3859 0.5110 0.2923
Ho: 0.8859 0.2923 0.5110
Ho: 0.6876 0.0044 0.5597
Ho: 0.4444 0.2443 0.8747
Ho: 0.3124 0.9956 0.4403
Ho: 0.1876 0.5597 0.0044
Ho: 0.5556 0.7557 0.1253
Ho: 0.6141 0.4890 0.7077
Ho: 0.0556 0.1253 0.7557
Ho: 0.8124 0.4403 0.9956
Tm: 0.5497 0.2031 0.3074
Tm: 0.0497 0.3074 0.2031
Tm: 0.9503 0.6926 0.7969
Tm: 0.4503 0.7969 0.6926
Sc: 0.7500 0.5857 0.4143
Sc: 0.2500 0.4143 0.5857
Sm: 0.2500 0.9740 0.0260
Sm: 0.7500 0.0260 0.9740

Output
size of the total moment = 0.0 Bohr magnetons per cell
density = 8.21 g/cm³
ΔH_f (0 K) = 0.130 eV/atom
DOS(E_F) = 14.16 states/eV/f.u.


Here is a relaxed structure of MnTlMo from the Alexandria database. Energies are from PBE-GGA.

Cell lengths 4.5091, 4.5091, 2.9202 Å; angles 90.00, 90.00, 120.00 degrees
Last column: magnetic moment on the atom in μB.
Atoms (fractional coordinates):
Tl: 0.6667 0.3333 0.7196  0.00
Mn: 0.0000 0.0000 0.0209  2.74
Mo: 0.3333 0.6667 0.2595  -0.69

Output
size of the total moment = 2.1 Bohr magnetons per cell
density = 11.47 g/cm³
ΔH_f (0 K) = 0.638 eV/atom
ΔE to the lowest computed polymorph = 0.125 eV/atom
DOS(E_F) = 1.60 states/eV/f.u.